DFT (PBE) results for crystalline SrVTe2 at its relaxed geometry.

Geometry as POSCAR:
```
SrVTe2
1.0
2.510 1.449 8.573
-2.510 1.449 8.573
0.000 -2.898 8.573
Sr V Te
1 1 2
Cartesian
0.000 0.000 0.000
0.000 0.000 12.860
0.000 0.000 10.270
0.000 0.000 15.449
```

Output
Density, g/cm3: 3.5
E_form (uncorrected), eV per atom: -0.28
Energy above the lowest structure with this stoichiometry, meV/atom: 413.1

***

DFT (PBE) results for crystalline Na3SrSi at its relaxed geometry.

Geometry as POSCAR:
```
Na3SrSi
1.0
5.663 0.000 0.000
0.000 5.663 0.000
0.000 0.000 5.663
Na Sr Si
3 1 1
Cartesian
0.000 0.000 2.832
0.000 2.832 0.000
2.832 0.000 0.000
2.832 2.832 2.832
0.000 0.000 0.000
```

Output
Density, g/cm3: 1.7
E_form (uncorrected), eV per atom: 0.22
Energy above the lowest structure with this stoichiometry, meV/atom: 0.0

***

DFT (PBE) results for crystalline SrAsOs2 at its relaxed geometry.

Geometry as POSCAR:
```
SrAsOs2
1.0
-1.982 1.982 4.804
1.982 -1.982 4.804
1.982 1.982 -4.804
Sr As Os
1 1 2
Cartesian
0.000 0.000 0.000
0.000 0.000 4.804
1.982 0.000 2.402
0.000 1.982 2.402
```

Output
Formation enthalpy at 0 K, eV per atom: 0.95
Density, g/cm3: 11.9

***

DFT (PBE) results for crystalline SmHo3Er6 at its relaxed geometry.

Geometry as POSCAR:
```
SmHo3Er6
1.0
5.463 -9.396 0.000
5.463 9.396 0.000
0.000 0.000 6.139
Sm Ho Er
2 6 12
Cartesian
5.463 5.489 3.070
5.463 -5.489 0.000
1.890 2.039 4.292
1.890 -2.039 1.222
5.463 2.056 3.588
5.463 -2.056 0.518
9.037 2.039 4.292
9.037 -2.039 1.222
2.709 3.955 1.794
5.463 8.502 4.536
5.463 4.032 0.087
3.664 0.881 0.774
3.664 -0.881 3.844
2.709 -3.955 4.864
8.218 3.955 1.794
7.262 0.881 0.774
7.262 -0.881 3.844
5.463 -4.032 3.156
5.463 -8.502 1.466
8.218 -3.955 4.864
```

Output
Formation enthalpy at 0 K, eV per atom: 0.15
Density, g/cm3: 8.7
Energy above the lowest structure with this stoichiometry, meV/atom: 0.0

***

DFT (PBE) results for crystalline Th2Zn2CuNi5 at its relaxed geometry.

Geometry as POSCAR:
```
Th2Zn2CuNi5
1.0
9.575 0.000 0.000
0.000 9.575 0.000
0.000 0.000 3.475
Th Zn Cu Ni
4 4 2 10
Cartesian
1.722 3.065 0.000
3.065 7.853 0.000
6.510 1.722 0.000
7.853 6.510 0.000
1.135 5.922 0.000
3.653 1.135 0.000
5.922 8.440 0.000
8.440 3.653 0.000
0.000 0.000 0.000
4.787 4.787 0.000
0.000 4.787 1.738
0.494 7.702 1.738
1.873 0.494 1.738
2.915 5.282 1.738
4.293 2.915 1.738
4.787 0.000 1.738
5.282 6.660 1.738
6.660 4.293 1.738
7.702 9.081 1.738
9.081 1.873 1.738
```

Output
Formation enthalpy at 0 K, eV per atom: -0.12
Density, g/cm3: 9.9

***

DFT (PBE) results for crystalline NdDyY2Se4 at its relaxed geometry.

Geometry as POSCAR:
```
NdDyY2Se4
1.0
7.140 0.000 0.000
0.000 4.066 0.000
-2.322 0.000 6.818
Nd Dy Y Se
1 1 2 4
Cartesian
0.000 0.000 0.000
-1.161 2.033 3.409
2.409 0.000 3.409
3.570 2.033 0.000
0.080 0.000 5.077
1.242 2.033 1.767
3.576 2.033 5.051
4.739 0.000 1.741
```

Output
Density, g/cm3: 6.7
E_form (uncorrected), eV per atom: -1.77

***

DFT (PBE) results for crystalline FeRe2Se at its relaxed geometry.

Geometry as POSCAR:
```
FeRe2Se
1.0
4.484 -1.459 0.000
4.484 1.459 0.000
-0.237 0.000 4.521
Fe Re Se
1 2 1
Cartesian
0.000 0.000 0.000
2.237 0.000 3.412
4.681 0.000 2.403
6.807 0.000 0.930
```

Output
Density, g/cm3: 14.2
E_form (uncorrected), eV per atom: 0.47

***

DFT (PBE) results for crystalline MgMn2Ag at its relaxed geometry.

Geometry as POSCAR:
```
MgMn2Ag
1.0
2.906 0.000 0.000
0.000 4.071 0.000
0.000 0.000 5.635
Mg Mn Ag
1 2 1
Cartesian
0.000 0.000 0.000
1.453 2.035 1.430
1.453 2.035 4.205
0.000 0.000 2.818
```

Output
Formation enthalpy at 0 K, eV per atom: 0.31
Density, g/cm3: 6.0

***

Number 1: D(E_F) 3.29 states/eV/cell. Number 2: D(E_F) 2.67 states/eV/cell. Number 3: D(E_F) 5.97 states/eV/cell. Number 4: D(E_F) 27.87 states/eV/cell. Number 5: D(E_F) 15.40 states/eV/cell. Number 6: D(E_F) 4.70 states/eV/cell. Number 7: D(E_F) 3.28 states/eV/cell. Number 8: D(E_F) 3.62 states/eV/cell.